Version w
The following is a PBE calculation of a geometry-optimized PaNb2Au structure, from the Alexandria database.

Unit cell a=4.7928 b=4.7928 c=4.7856 alpha=59.95 beta=59.95 gamma=60.00
Fractional coordinates of all 4 atoms:
Nb (0.7493, 0.7493, 0.7522)
Nb (0.2507, 0.2507, 0.2478)
Au (0.0000, 0.0000, 0.0000)
Pa (0.5000, 0.5000, 0.5000)

Output
The calculation puts the magnetic moment at 0.0 μB per formula unit. The crystal system is trigonal. Its space group is R-3m.

---

Version x
The following is a PBE calculation of a geometry-optimized PaNb2Au structure, from the Alexandria database.

Unit cell a=3.6579 b=4.6390 c=4.6390 alpha=90.00 beta=90.00 gamma=90.00
Fractional coordinates of all 4 atoms:
Au (0.5000, 0.5000, 0.5000)
Nb (0.0000, 0.0000, 0.5000)
Nb (0.0000, 0.5000, 0.0000)
Pa (0.5000, 0.0000, 0.0000)

Output
The calculation puts the magnetic moment at 0.0 μB per formula unit. The crystal system is tetragonal. Its space group is P4/mmm.

---

Most stable: version x (next structure +125 meV per atom)

---

Version w
The following is a PBE calculation of a geometry-optimized Nb3PbAu structure, from the Alexandria database.

Unit cell a=5.1076 b=5.1076 c=5.1076 alpha=90.00 beta=90.00 gamma=90.00
Fractional coordinates of all 5 atoms:
Nb (0.0000, 0.5000, 0.0000)
Nb (0.0000, 0.0000, 0.5000)
Au (0.5000, 0.5000, 0.5000)
Nb (0.5000, 0.0000, 0.0000)
Pb (0.0000, 0.0000, 0.0000)

Output
The calculation puts the magnetic moment at 0.0 μB per formula unit. The crystal system is cubic. Its space group is Pm-3m.

---

Version x
The following is a PBE calculation of a geometry-optimized Nb3PbAu structure, from the Alexandria database.

Unit cell a=5.0029 b=5.0029 c=5.0029 alpha=90.00 beta=90.00 gamma=90.00
Fractional coordinates of all 5 atoms:
Au (0.0000, 0.0000, 0.0000)
Nb (0.5000, 0.0000, 0.0000)
Nb (0.0000, 0.5000, 0.0000)
Nb (0.0000, 0.0000, 0.5000)
Pb (0.5000, 0.5000, 0.5000)

Output
The calculation puts the magnetic moment at 0.0 μB per formula unit. The crystal system is cubic. Its space group is Pm-3m.

---

Most stable: version x (next structure +691 meV per atom)

---

Version w
The following is a PBE calculation of a geometry-optimized NbPd2Au structure, from the Alexandria database.

Unit cell a=5.1167 b=7.2250 c=7.2364 alpha=90.00 beta=90.00 gamma=90.00
Fractional coordinates of all 16 atoms:
Pd (0.2500, 0.3768, 0.0143)
Pd (0.5000, 0.5000, 0.6393)
Nb (0.7500, 0.7539, 0.3880)
Pd (0.2500, 0.8768, 0.5143)
Pd (0.5000, 0.0000, 0.1393)
Au (0.2500, 0.1279, 0.7641)
Au (0.7500, 0.3721, 0.2641)
Nb (0.2500, 0.2461, 0.3880)
Pd (0.7500, 0.1232, 0.5143)
Pd (0.7500, 0.6232, 0.0143)
Au (0.2500, 0.6279, 0.2641)
Pd (0.0000, 0.0000, 0.1393)
Nb (0.2500, 0.7461, 0.8880)
Nb (0.7500, 0.2539, 0.8880)
Pd (0.0000, 0.5000, 0.6393)
Au (0.7500, 0.8721, 0.7641)

Output
The calculation puts the magnetic moment at 0.0 μB per formula unit. The crystal system is orthorhombic. Its space group is Ama2.

---

Version x
The following is a PBE calculation of a geometry-optimized NbPd2Au structure, from the Alexandria database.

Unit cell a=2.8373 b=6.8411 c=7.2185 alpha=93.97 beta=90.00 gamma=101.97
Fractional coordinates of all 8 atoms:
Nb (0.6378, 0.2757, 0.9393)
Nb (0.3622, 0.7243, 0.0607)
Au (0.6014, 0.2027, 0.5507)
Pd (0.7299, 0.4598, 0.2671)
Pd (0.9666, 0.9332, 0.8044)
Au (0.3986, 0.7973, 0.4493)
Pd (0.2701, 0.5402, 0.7329)
Pd (0.0334, 0.0668, 0.1956)

Output
The calculation puts the magnetic moment at 0.0 μB per formula unit. The crystal system is monoclinic. Its space group is C2/m.

---

Most stable: version w (next structure +81 meV per atom)

---

Version w
The following is a PBE calculation of a geometry-optimized NbPd2Au structure, from the Alexandria database.

Unit cell a=4.9188 b=4.9851 c=5.5970 alpha=90.14 beta=104.60 gamma=97.27
Fractional coordinates of all 8 atoms:
Pd (0.7391, 0.3695, 0.5543)
Nb (0.2728, 0.1289, 0.2174)
Nb (0.7272, 0.8711, 0.7826)
Au (0.7529, 0.3670, 0.0541)
Pd (0.7675, 0.8803, 0.3009)
Au (0.2471, 0.6330, 0.9459)
Pd (0.2325, 0.1197, 0.6991)
Pd (0.2609, 0.6305, 0.4457)

Output
The calculation puts the magnetic moment at 0.0 μB per formula unit. The crystal system is triclinic. Its space group is P-1.

---

Version x
The following is a PBE calculation of a geometry-optimized NbPd2Au structure, from the Alexandria database.

Unit cell a=4.9634 b=4.6301 c=5.7577 alpha=90.00 beta=90.31 gamma=90.00
Fractional coordinates of all 8 atoms:
Nb (0.3584, 0.5000, 0.6450)
Pd (0.3706, 0.5000, 0.1373)
Pd (0.5325, 0.0000, 0.8667)
Nb (0.5342, 0.0000, 0.3549)
Au (0.8622, 0.5000, 0.8862)
Au (0.8668, 0.5000, 0.3846)
Pd (0.0462, 0.0000, 0.1308)
Pd (0.0408, 0.0000, 0.6242)

Output
The calculation puts the magnetic moment at 0.0 μB per formula unit. The crystal system is monoclinic. Its space group is Pm.

---

Version y
The following is a PBE calculation of a geometry-optimized NbPd2Au structure, from the Alexandria database.

Unit cell a=4.9840 b=5.6350 c=4.9994 alpha=90.00 beta=111.37 gamma=90.00
Fractional coordinates of all 8 atoms:
Pd (0.5000, 0.4220, 0.0000)
Pd (0.5000, 0.1734, 0.5000)
Nb (0.0000, 0.4113, 0.5000)
Pd (0.0000, 0.1714, 0.0000)
Pd (0.5000, 0.6688, 0.5000)
Au (0.0000, 0.6659, 0.0000)
Au (0.0000, 0.9181, 0.5000)
Nb (0.5000, 0.9328, 0.0000)

Output
The calculation puts the magnetic moment at 0.0 μB per formula unit. The crystal system is monoclinic. Its space group is P2.

---

Most stable: version w (next structure +9 meV per atom)

---

Version w
The following is a PBE calculation of a geometry-optimized NbPd2Au structure, from the Alexandria database.

Unit cell a=4.7307 b=4.9087 c=5.6334 alpha=90.00 beta=90.00 gamma=90.00
Fractional coordinates of all 8 atoms:
Nb (0.5000, 0.3360, 0.0000)
Pd (0.0000, 0.1656, 0.2491)
Au (0.0000, 0.6618, 0.0000)
Au (0.5000, 0.3382, 0.5000)
Pd (0.0000, 0.1656, 0.7509)
Pd (0.5000, 0.8344, 0.7491)
Pd (0.5000, 0.8344, 0.2509)
Nb (0.0000, 0.6640, 0.5000)

Output
The calculation puts the magnetic moment at 0.0 μB per formula unit. The crystal system is orthorhombic. Its space group is Pmmn.

---

Version x
The following is a PBE calculation of a geometry-optimized NbPd2Au structure, from the Alexandria database.

Unit cell a=5.0238 b=2.8612 c=9.3316 alpha=90.00 beta=99.73 gamma=90.00
Fractional coordinates of all 8 atoms:
Nb (0.0000, 0.0000, 0.5000)
Au (0.5000, 0.5000, 0.5000)
Au (0.5000, 0.0000, 0.0000)
Pd (0.2409, 0.0000, 0.2484)
Nb (0.0000, 0.5000, 0.0000)
Pd (0.2409, 0.5000, 0.7484)
Pd (0.7591, 0.0000, 0.7516)
Pd (0.7591, 0.5000, 0.2516)

Output
The calculation puts the magnetic moment at 0.0 μB per formula unit. The crystal system is monoclinic. Its space group is C2/m.

---

Version y
The following is a PBE calculation of a geometry-optimized NbPd2Au structure, from the Alexandria database.

Unit cell a=2.8758 b=2.8758 c=9.4828 alpha=81.28 beta=81.28 gamma=60.00
Fractional coordinates of all 4 atoms:
Au (0.5000, 0.5000, 0.5000)
Nb (0.0000, 0.0000, 0.0000)
Pd (0.7471, 0.7471, 0.7586)
Pd (0.2529, 0.2529, 0.2414)

Output
The calculation puts the magnetic moment at 0.0 μB per formula unit. The crystal system is trigonal. Its space group is R-3m.

---

Version z
The following is a PBE calculation of a geometry-optimized NbPd2Au structure, from the Alexandria database.

Unit cell a=4.9473 b=4.7367 c=5.5913 alpha=90.00 beta=90.03 gamma=90.00
Fractional coordinates of all 8 atoms:
Nb (0.8593, 0.5000, 0.2592)
Pd (0.5550, 0.0000, 0.2547)
Au (0.8654, 0.5000, 0.7538)
Nb (0.5467, 0.0000, 0.7432)
Au (0.0508, 0.0000, 0.0108)
Pd (0.3706, 0.5000, 0.5008)
Pd (0.0475, 0.0000, 0.5040)
Pd (0.3747, 0.5000, 0.0032)

Output
The calculation puts the magnetic moment at 0.0 μB per formula unit. The crystal system is monoclinic. Its space group is Pm.

---

Most stable: version w (next structure +10 meV per atom)

---

Version w
The following is a PBE calculation of a geometry-optimized NbPd2Au structure, from the Alexandria database.

Unit cell a=4.5455 b=4.5455 c=4.5455 alpha=60.00 beta=60.00 gamma=60.00
Fractional coordinates of all 4 atoms:
Pd (0.7500, 0.7500, 0.7500)
Au (0.5000, 0.5000, 0.5000)
Nb (0.0000, 0.0000, 0.0000)
Pd (0.2500, 0.2500, 0.2500)

Output
The calculation puts the magnetic moment at 0.0 μB per formula unit. The crystal system is cubic. Its space group is Fm-3m.

---

Version x
The following is a PBE calculation of a geometry-optimized NbPd2Au structure, from the Alexandria database.

Unit cell a=4.9541 b=5.6452 c=4.9693 alpha=90.00 beta=108.41 gamma=90.00
Fractional coordinates of all 8 atoms:
Nb (0.5000, 0.5061, 0.0000)
Au (0.5000, 0.2528, 0.5000)
Pd (0.5000, 0.7468, 0.5000)
Au (0.5000, 0.0009, 0.0000)
Nb (0.0000, 0.5121, 0.5000)
Pd (0.0000, 0.2591, 0.0000)
Pd (0.0000, 0.0017, 0.5000)
Pd (0.0000, 0.7503, 0.0000)

Output
The calculation puts the magnetic moment at 0.0 μB per formula unit. The crystal system is monoclinic. Its space group is P2.

---

Version y
The following is a PBE calculation of a geometry-optimized NbPd2Au structure, from the Alexandria database.

Unit cell a=2.9210 b=3.9385 c=5.7431 alpha=90.00 beta=90.00 gamma=90.00
Fractional coordinates of all 4 atoms:
Pd (0.5000, 0.0000, 0.2420)
Pd (0.5000, 0.0000, 0.7580)
Au (0.0000, 0.5000, 0.5000)
Nb (0.0000, 0.5000, 0.0000)

Output
The calculation puts the magnetic moment at 0.0 μB per formula unit. The crystal system is orthorhombic. Its space group is Pmmm.

---

Version z
The following is a PBE calculation of a geometry-optimized NbPd2Au structure, from the Alexandria database.

Unit cell a=2.8938 b=2.8938 c=7.9445 alpha=90.00 beta=90.00 gamma=90.00
Fractional coordinates of all 4 atoms:
Au (0.5000, 0.5000, 0.0000)
Pd (0.0000, 0.0000, 0.2590)
Pd (0.0000, 0.0000, 0.7410)
Nb (0.5000, 0.5000, 0.5000)

Output
The calculation puts the magnetic moment at 0.0 μB per formula unit. The crystal system is tetragonal. Its space group is P4/mmm.

---

Most stable: version y (next structure +6 meV per atom)